# 1
Compound: La2Pm12In
Source: the Alexandria database
Functional: PBE
Structure: optimized geometry

Results
As for the total magnetization: 0.00 μB per formula unit. For the calculated formation energy, the calculation gives 0.1998 eV per atom. As for the density of states at the Fermi level: 1.28 states/eV per atom. The total energy comes out at -0.1632 hartree per atom.

Cell lengths 6.7567, 6.7567, 23.7528 Å; angles 90.00, 90.00, 90.00 degrees
With the nearest neighbours (Å) after each atom.
Space group P4/nbm (No. 125, origin choice 2)
One atom of each set of equivalent atoms:
1 La 0.2500 0.7500 0.2473  8 Pm 3.56-3.90
2 Pm 0.0033 0.5033 0.0912  2 In 3.20-3.25, 6 Pm 3.38-3.51
3 Pm 0.0841 0.5841 0.5650  2 Pm 3.17-3.48
4 Pm 0.2500 0.2500 0.1995  1 Pm 3.09
5 Pm 0.2500 0.2500 0.3295  1 Pm 3.09
6 In 0.2500 0.7500 0.0000  8 Pm 3.20-3.25



# 2
Compound: LaPmIn2
Source: the Alexandria database
Functional: PBE
Structure: optimized geometry

Results
As for the total magnetization: 0.00 μB per formula unit. For the calculated formation energy, the calculation gives -0.5100 eV per atom. As for the density of states at the Fermi level: 0.68 states/eV per atom. The total energy comes out at -0.1580 hartree per atom.

Cell lengths 3.8998, 3.8998, 7.8167 Å; angles 90.00, 90.00, 90.00 degrees
With the nearest neighbours (Å) after each atom.
Space group P4/mmm (No. 123)
One atom of each set of equivalent atoms:
1 La 0.0000 0.0000 0.0000  8 In 3.43
2 Pm 0.0000 0.0000 0.5000  8 In 3.33
3 In 0.5000 0.5000 0.2615  4 Pm 3.33, 4 La 3.43



# 3
Compound: La15PmIn4
Source: the Alexandria database
Functional: PBE
Structure: optimized geometry

Results
As for the total magnetization: 0.00 μB per formula unit. For the calculated formation energy, the calculation gives -0.2309 eV per atom. As for the density of states at the Fermi level: 1.53 states/eV per atom. The total energy comes out at -0.1732 hartree per atom.

Cell lengths 5.0799, 5.0799, 25.7438 Å; angles 90.00, 90.00, 90.00 degrees
With the nearest neighbours (Å) after each atom.
Space group P4/mmm (No. 123)
One atom of each set of equivalent atoms:
1 La 0.0000 0.0000 0.0000  4 Pm 3.59, 8 La 3.70
2 La 0.0000 0.0000 0.2049  8 La 3.58-3.62, 4 In 3.59
3 La 0.0000 0.0000 0.4009  8 La 3.58-3.60, 4 In 3.59
4 La 0.0000 0.5000 0.1046  8 La 3.59-3.70, 2 In 3.61, 2 Pm 3.70
5 La 0.0000 0.5000 0.3027  8 La 3.58-3.59, 4 In 3.59-3.60
6 La 0.0000 0.5000 0.5000  4 In 3.59, 8 La 3.59-3.60
7 Pm 0.5000 0.5000 0.0000  12 La 3.59-3.70
8 In 0.5000 0.5000 0.2042  12 La 3.59-3.61
9 In 0.5000 0.5000 0.4015  12 La 3.59-3.60



# 4
Compound: La5Pm8In
Source: the Alexandria database
Functional: PBE
Structure: optimized geometry

Results
As for the total magnetization: 0.00 μB per formula unit. For the calculated formation energy, the calculation gives 0.0978 eV per atom. As for the density of states at the Fermi level: 1.42 states/eV per atom. The total energy comes out at -0.1680 hartree per atom.

Cell lengths 9.5929, 9.5929, 10.7889 Å; angles 90.00, 90.00, 90.00 degrees
With the nearest neighbours (Å) after each atom.
Space group I-4 (No. 82)
One atom of each set of equivalent atoms:
1 La 0.0000 0.0000 0.0000  4 Pm 3.21
2 La 0.1123 0.7190 0.3167  8 Pm 3.53-3.73, 2 La 3.64
3 Pm 0.0719 0.6731 0.9879  1 In 3.13, 1 La 3.21
4 Pm 0.0813 0.8043 0.6360  1 In 3.26, 4 La 3.53-3.60, 1 Pm 3.57
5 In 0.0000 0.5000 0.7500  8 Pm 3.13-3.26



# 5
Compound: La8Pm3In2
Source: the Alexandria database
Functional: PBE
Structure: optimized geometry

Results
As for the total magnetization: 0.00 μB per formula unit. For the calculated formation energy, the calculation gives -0.1216 eV per atom. As for the density of states at the Fermi level: 1.56 states/eV per atom. The total energy comes out at -0.1717 hartree per atom.

Cell lengths 6.5473, 7.1148, 10.2166 Å; angles 107.46, 94.69, 90.20 degrees
With the nearest neighbours (Å) after each atom.
Space group P-1 (No. 2)
One atom of each set of equivalent atoms:
1 La 0.0310 0.3798 0.1546  2 In 3.46-3.56, 6 La 3.61-3.80, 3 Pm 3.77-3.88
2 La 0.1270 0.0994 0.8086  2 In 3.32-3.38, 4 La 3.61-3.69, 3 Pm 3.63-3.71
3 La 0.3710 0.8159 0.3552  1 In 3.34, 2 Pm 3.57-3.67, 4 La 3.60-3.74
4 La 0.4412 0.6762 0.6804  1 In 3.36, 4 La 3.62-3.74, 1 Pm 3.63
5 Pm 0.0904 0.2653 0.5032  2 Pm 3.56-3.93, 10 La 3.57-3.90
6 Pm 0.5000 0.5000 0.0000  2 In 3.28
7 In 0.3269 0.9478 0.0672  1 In 2.95, 1 Pm 3.28



# 6
Compound: LaPm8In2
Source: the Alexandria database
Functional: PBE
Structure: optimized geometry

Results
As for the total magnetization: 0.00 μB per formula unit. For the calculated formation energy, the calculation gives -0.0741 eV per atom. As for the density of states at the Fermi level: 1.31 states/eV per atom. The total energy comes out at -0.1645 hartree per atom.

Cell lengths 19.3467, 7.0237, 5.4363 Å; angles 90.00, 93.07, 90.00 degrees
With the nearest neighbours (Å) after each atom.
Space group C2/m (No. 12)
One atom of each set of equivalent atoms:
1 La 0.0000 0.0000 0.0000  10 Pm 3.64-3.99
2 Pm 0.0438 0.5000 0.2390  2 Pm 3.03-3.38, 1 In 3.23
3 Pm 0.1378 0.2657 0.7258  5 Pm 3.29-3.55, 3 In 3.46-3.49, 1 La 3.64
4 Pm 0.1991 0.0000 0.2329  4 In 3.20-3.52, 6 Pm 3.48-3.55
5 In 0.2106 0.5000 0.2442  11 Pm 3.20-3.52



# 7
Compound: LaPmIn
Source: the Alexandria database
Functional: PBE
Structure: optimized geometry

Results
The energy above the lowest structure with this stoichiometry comes out at 0 meV/atom. As for the total magnetization: 0.16 μB per formula unit. For the calculated formation energy, the calculation gives -0.3097 eV per atom. As for the density of states at the Fermi level: 1.37 states/eV per atom. The total energy comes out at -0.1635 hartree per atom.

Cell lengths 4.6799, 4.9111, 8.6987 Å; angles 90.00, 90.00, 90.00 degrees
With the nearest neighbours (Å) after each atom.
Space group Pmmn (No. 59, origin choice 2)
One atom of each set of equivalent atoms:
1 La 0.2500 0.2500 0.1431  5 In 3.29-3.49
2 Pm 0.2500 0.7500 0.5264  4 In 3.21-3.45, 4 Pm 3.42
3 In 0.2500 0.2500 0.7645  4 Pm 3.21-3.45, 5 La 3.29-3.49



# 8
Compound: La4PmIn2
Source: the Alexandria database
Functional: PBE
Structure: optimized geometry

Results
The energy above the lowest structure with this stoichiometry comes out at 0 meV/atom. As for the total magnetization: 0.00 μB per formula unit. For the calculated formation energy, the calculation gives -0.1696 eV per atom. As for the density of states at the Fermi level: 1.40 states/eV per atom. The total energy comes out at -0.1634 hartree per atom.

Cell lengths 9.1757, 10.2851, 10.3027 Å; angles 90.00, 90.00, 90.00 degrees
With the nearest neighbours (Å) after each atom.
Space group Fmmm (No. 69)
One atom of each set of equivalent atoms:
1 La 0.2500 0.0000 0.2500  4 In 3.45, 2 Pm 3.45, 4 La 3.64
2 La 0.2500 0.2500 0.0000  2 Pm 3.45, 4 In 3.45, 4 La 3.64
3 Pm 0.0000 0.0000 0.0000  8 La 3.45, 4 In 3.64
4 In 0.0000 0.2500 0.2500  8 La 3.45, 2 Pm 3.64



# 9
Compound: La2Pm8In
Source: the Alexandria database
Functional: PBE
Structure: optimized geometry

Results
The energy above the lowest structure with this stoichiometry comes out at 70 meV/atom. As for the total magnetization: 0.00 μB per formula unit. For the calculated formation energy, the calculation gives 0.0090 eV per atom. As for the density of states at the Fermi level: 1.37 states/eV per atom. The total energy comes out at -0.1687 hartree per atom.

Cell lengths 5.6201, 7.7553, 17.5971 Å; angles 90.00, 90.00, 90.00 degrees
With the nearest neighbours (Å) after each atom.
Space group Immm (No. 71)
One atom of each set of equivalent atoms:
1 La 0.0000 0.0000 0.1929  10 Pm 3.47-3.89
2 Pm 0.0000 0.2443 0.0000  2 In 3.44, 7 Pm 3.66-3.79
3 Pm 0.0000 0.2717 0.3647  1 In 3.18, 2 La 3.47, 1 Pm 3.54
4 Pm 0.0000 0.5000 0.1747  8 Pm 3.58-3.78, 4 La 3.65-3.89
5 In 0.0000 0.0000 0.5000  8 Pm 3.18-3.44



# 10
Compound: La3PmIn12
Source: the Alexandria database
Functional: PBE
Structure: optimized geometry

Results
As for the total magnetization: 0.00 μB per formula unit. For the calculated formation energy, the calculation gives -0.4783 eV per atom. As for the density of states at the Fermi level: 0.62 states/eV per atom. The total energy comes out at -0.1379 hartree per atom.

Cell lengths 4.7647, 4.7647, 19.0835 Å; angles 90.00, 90.00, 90.00 degrees
With the nearest neighbours (Å) after each atom.
Space group P4/mmm (No. 123)
One atom of each set of equivalent atoms:
1 La 0.0000 0.0000 0.0000  12 In 3.37-3.39
2 La 0.0000 0.0000 0.2529  12 In 3.37-3.39
3 Pm 0.0000 0.0000 0.5000  12 In 3.33-3.37
4 In 0.0000 0.5000 0.1261  8 In 3.37-3.39, 4 La 3.39
5 In 0.0000 0.5000 0.3779  8 In 3.33-3.40, 2 Pm 3.33, 2 La 3.37
6 In 0.5000 0.5000 0.0000  4 La 3.37, 8 In 3.39
7 In 0.5000 0.5000 0.2508  8 In 3.37-3.40, 4 La 3.37
8 In 0.5000 0.5000 0.5000  8 In 3.33, 4 Pm 3.37